# 1
A relaxed structure of Rb2SrGeSe4. Source: Alexandria, functional PBE.

Output
**ΔE_f (raw)**: -0.87 eV/atom
**Total magnetic moment**: 0.00 μB per formula unit

a = 8.546 Å, b = 9.348 Å, c = 12.674 Å
α = 90.00°, β = 90.00°, γ = 90.00°
Space group Imma (No. 74)
One atom of each set of equivalent atoms:
1 Rb 0.000 0.000 0.000 [4 per cell]
2 Rb 0.250 0.250 0.250 [4 per cell]
3 Sr 0.000 0.000 0.500 [4 per cell]
4 Ge 0.250 0.250 0.750 [4 per cell]
5 Se 0.000 0.055 0.744 [8 per cell]
6 Se 0.236 0.250 0.544 [8 per cell]

=====

# 2
A relaxed structure of RbTaGeSe6. Source: Alexandria, functional PBE.

Output
**ΔE_f (raw)**: -0.57 eV/atom
**Total magnetic moment**: 0.00 μB per formula unit

a = 6.365 Å, b = 6.751 Å, c = 7.703 Å
α = 94.64°, β = 91.35°, γ = 116.03°
Space group P1 (No. 1)
One atom of each set of equivalent atoms:
1 Rb 0.000 0.000 0.000 [1 per cell]
2 Ta 0.325 0.543 0.469 [1 per cell]
3 Ge 0.604 0.206 0.569 [1 per cell]
4 Se 0.013 0.534 0.236 [1 per cell]
5 Se 0.355 0.866 0.686 [1 per cell]
6 Se 0.436 0.757 0.209 [1 per cell]
7 Se 0.501 0.297 0.297 [1 per cell]
8 Se 0.569 0.505 0.732 [1 per cell]
9 Se 0.990 0.233 0.605 [1 per cell]

=====

# 3
A relaxed structure of RbTbGeSe3. Source: Alexandria, functional PBE.

Output
**ΔE_f (raw)**: -1.25 eV/atom
**Total magnetic moment**: 0.00 μB per formula unit

a = 8.933 Å, b = 4.088 Å, c = 11.322 Å
α = 90.00°, β = 110.07°, γ = 90.00°
Space group P2_1/m (No. 11)
One atom of each set of equivalent atoms:
1 Rb 0.236 0.250 0.278 [2 per cell]
2 Tb 0.362 0.750 0.845 [2 per cell]
3 Ge 0.127 0.250 0.561 [2 per cell]
4 Se 0.114 0.250 0.777 [2 per cell]
5 Se 0.325 0.750 0.579 [2 per cell]
6 Se 0.400 0.750 0.106 [2 per cell]

=====

# 4
A relaxed structure of Rb2TlGeSe4. Source: Alexandria, functional PBE.

Output
**ΔE_f (raw)**: -0.61 eV/atom
**Total magnetic moment**: 0.00 μB per formula unit

a = 6.856 Å, b = 14.225 Å, c = 25.211 Å
α = 90.00°, β = 90.00°, γ = 90.00°
Space group Fddd (No. 70, origin choice 2)
One atom of each set of equivalent atoms:
1 Rb 0.125 0.125 0.311 [16 per cell]
2 Tl 0.125 0.125 0.125 [8 per cell]
3 Ge 0.125 0.125 0.625 [8 per cell]
4 Se 0.071 0.273 0.821 [32 per cell]

=====

# 5
A relaxed structure of Rb2TlGeSe. Source: Alexandria, functional PBE.

Output
**ΔE_f (raw)**: 0.07 eV/atom
**Total magnetic moment**: 0.00 μB per formula unit

a = 6.859 Å, b = 6.859 Å, c = 5.026 Å
α = 90.00°, β = 90.00°, γ = 90.00°
Space group P4/mmm (No. 123)
One atom of each set of equivalent atoms:
1 Rb 0.000 0.500 0.000 [2 per cell]
2 Tl 0.000 0.000 0.500 [1 per cell]
3 Ge 0.500 0.500 0.000 [1 per cell]
4 Se 0.500 0.500 0.500 [1 per cell]

=====

# 6
A relaxed structure of Rb2TmGeSe4. Source: Alexandria, functional PBE.

Output
**ΔE_f (raw)**: -1.02 eV/atom
**Total magnetic moment**: 0.00 μB per formula unit

a = 6.623 Å, b = 14.745 Å, c = 25.376 Å
α = 90.00°, β = 90.00°, γ = 90.00°
Space group Fddd (No. 70, origin choice 2)
One atom of each set of equivalent atoms:
1 Rb 0.125 0.125 0.307 [16 per cell]
2 Tm 0.125 0.125 0.125 [8 per cell]
3 Ge 0.125 0.125 0.625 [8 per cell]
4 Se 0.112 0.273 0.822 [32 per cell]

=====

For the records above, the corresponding total energy values read -116.68 -43.50 -56.34 -222.12 -12.04 -265.21 eV per cell.